Dy3Tm3Te2Pt, relaxed, DFT PBE; offset from the most stable computed form = 0.050 eV/atom
1.0
8.3930 0.0000 0.0000
-4.1965 7.2685 0.0000
0.0000 0.0000 3.9071
Dy Tm Te Pt
3 3 2 1
Direct
0.0000 0.7523 0.0000
0.2477 0.2477 0.0000
0.7523 0.0000 0.0000
0.0000 0.3989 0.5000
0.3989 0.0000 0.5000
0.6011 0.6011 0.5000
0.3333 0.6667 0.0000
0.6667 0.3333 0.0000
0.0000 0.0000 0.5000

SmS2, relaxed, DFT PBE; E_tot = -5.582 eV/atom
1.0
6.5298 0.0000 0.0000
0.0000 6.5298 0.0000
0.0000 0.0000 4.1996
Sm S
2 4
Direct
0.0000 0.0000 0.0000
0.5000 0.5000 0.5000
0.2001 0.2001 0.5000
0.2999 0.7001 0.0000
0.7001 0.2999 0.0000
0.7999 0.7999 0.5000